An optimized crystal structure of LiTbCuGe2. Source: Alexandria via LeMat-Bulk, functional PBE.

a = 4.051 Å, b = 4.051 Å, c = 10.636 Å
α = 90.00°, β = 90.00°, γ = 90.00°
Fractional coordinates of all 10 atoms:
Li 0.000 0.000 0.000
Li 0.500 0.500 0.500
Tb 0.000 0.500 0.750
Tb 0.500 0.000 0.250
Cu 0.000 0.000 0.500
Cu 0.500 0.500 0.000
Ge 0.000 0.500 0.133
Ge 0.000 0.500 0.367
Ge 0.500 0.000 0.633
Ge 0.500 0.000 0.867

Summary:
Volume (Å³ per cell): 175
Crystal system: tetragonal
Total energy (eV/atom): -4.54
DOS at the Fermi energy (states/eV per cell): 2.44
SG: I-4m2, No. 119

=====

An optimized crystal structure of LiBiP2O. Source: Alexandria via LeMat-Bulk, functional PBE.

a = 5.381 Å, b = 5.381 Å, c = 4.307 Å
α = 90.00°, β = 90.00°, γ = 90.00°
Fractional coordinates of all 5 atoms:
Li 0.000 0.000 0.000
Bi 0.500 0.500 0.500
P 0.000 0.500 0.500
P 0.500 0.000 0.500
O 0.500 0.500 0.000

Summary:
Volume (Å³ per cell): 125
Crystal system: tetragonal
Formation energy from raw total energies (eV per atom): 0.5038
DOS at the Fermi energy (states/eV per cell): 2.70
SG: P4/mmm, No. 123

=====

An optimized crystal structure of Pt2SO. Source: Alexandria via LeMat-Bulk, functional PBE.

a = 5.931 Å, b = 5.931 Å, c = 6.792 Å
α = 90.00°, β = 90.00°, γ = 90.00°
Fractional coordinates of all 16 atoms:
Pt 0.240 0.750 0.125
Pt 0.250 0.240 0.875
Pt 0.250 0.260 0.375
Pt 0.260 0.750 0.625
Pt 0.740 0.250 0.625
Pt 0.750 0.740 0.375
Pt 0.750 0.760 0.875
Pt 0.760 0.250 0.125
S 0.000 0.000 0.500
S 0.000 0.500 0.750
S 0.500 0.000 0.250
S 0.500 0.500 0.000
O 0.000 0.000 0.000
O 0.000 0.500 0.250
O 0.500 0.000 0.750
O 0.500 0.500 0.500

Summary:
Volume (Å³ per cell): 239
Crystal system: tetragonal
Formation energy from raw total energies (eV per atom): 0.1545
DOS at the Fermi energy (states/eV per cell): 7.63
SG: I-42d, No. 122

=====

An optimized crystal structure of CsIr2Pb. Source: Alexandria via LeMat-Bulk, functional PBE.

a = 8.014 Å, b = 8.014 Å, c = 6.505 Å
α = 90.00°, β = 90.00°, γ = 90.00°
Fractional coordinates of all 16 atoms:
Cs 0.000 0.000 0.000
Cs 0.000 0.500 0.250
Cs 0.500 0.000 0.750
Cs 0.500 0.500 0.500
Ir 0.198 0.250 0.625
Ir 0.250 0.698 0.875
Ir 0.250 0.802 0.375
Ir 0.302 0.250 0.125
Ir 0.698 0.750 0.125
Ir 0.750 0.198 0.375
Ir 0.750 0.302 0.875
Ir 0.802 0.750 0.625
Pb 0.000 0.000 0.500
Pb 0.000 0.500 0.750
Pb 0.500 0.000 0.250
Pb 0.500 0.500 0.000

Summary:
Volume (Å³ per cell): 418
Crystal system: tetragonal
Total energy (eV/atom): -4.29
DOS at the Fermi energy (states/eV per cell): 20.06
SG: I-42d, No. 122

=====

An optimized crystal structure of KTlSb. Source: Alexandria via LeMat-Bulk, functional PBE.

a = 7.819 Å, b = 7.819 Å, c = 7.819 Å
α = 90.00°, β = 90.00°, γ = 90.00°
Fractional coordinates of all 12 atoms:
K 0.000 0.000 0.000
K 0.000 0.500 0.500
K 0.500 0.000 0.500
K 0.500 0.500 0.000
Tl 0.250 0.250 0.750
Tl 0.250 0.750 0.250
Tl 0.750 0.250 0.250
Tl 0.750 0.750 0.750
Sb 0.250 0.250 0.250
Sb 0.250 0.750 0.750
Sb 0.750 0.250 0.750
Sb 0.750 0.750 0.250

Summary:
Volume (Å³ per cell): 478
Crystal system: cubic
Formation energy from raw total energies (eV per atom): 0.1846
DOS at the Fermi energy (states/eV per cell): 13.44
SG: F-43m, No. 216

=====

An optimized crystal structure of RbCoRu. Source: Alexandria via LeMat-Bulk, functional PBE.

a = 4.071 Å, b = 4.071 Å, c = 11.935 Å
α = 88.75°, β = 87.88°, γ = 60.00°
Fractional coordinates of all 6 atoms:
Rb 0.000 0.000 0.000
Rb 0.270 0.324 0.612
Co 0.300 0.329 0.319
Co 0.624 0.660 0.412
Ru 0.643 0.664 0.216
Ru 0.966 0.996 0.323

Summary:
Volume (Å³ per cell): 171
Crystal system: triclinic
Total energy (eV/atom): -5.09
DOS at the Fermi energy (states/eV per cell): 9.86
SG: P1, No. 1

=====

An optimized crystal structure of ScRe2. Source: Alexandria via LeMat-Bulk, functional PBE.

a = 5.278 Å, b = 5.278 Å, c = 17.287 Å
α = 90.00°, β = 90.00°, γ = 120.00°
Fractional coordinates of all 24 atoms:
Sc 0.000 0.000 0.093
Sc 0.000 0.000 0.407
Sc 0.000 0.000 0.593
Sc 0.000 0.000 0.907
Sc 0.333 0.667 0.156
Sc 0.333 0.667 0.344
Sc 0.667 0.333 0.656
Sc 0.667 0.333 0.844
Re 0.000 0.500 0.000
Re 0.000 0.500 0.500
Re 0.161 0.321 0.750
Re 0.161 0.839 0.750
Re 0.321 0.161 0.250
Re 0.333 0.667 0.628
Re 0.333 0.667 0.872
Re 0.500 0.000 0.000
Re 0.500 0.000 0.500
Re 0.500 0.500 0.000
Re 0.500 0.500 0.500
Re 0.667 0.333 0.128
Re 0.667 0.333 0.372
Re 0.679 0.839 0.750
Re 0.839 0.161 0.250
Re 0.839 0.679 0.250

Summary:
Volume (Å³ per cell): 417
Crystal system: hexagonal
Total energy (eV/atom): -10.73
DOS at the Fermi energy (states/eV per cell): 16.96
SG: P6_3/mmc, No. 194

=====

An optimized crystal structure of Dy2Al2GeRu5. Source: Alexandria via LeMat-Bulk, functional PBE.

a = 10.033 Å, b = 10.033 Å, c = 3.290 Å
α = 90.00°, β = 90.00°, γ = 90.00°
Fractional coordinates of all 20 atoms:
Dy 0.171 0.329 0.000
Dy 0.329 0.829 0.000
Dy 0.671 0.171 0.000
Dy 0.829 0.671 0.000
Al 0.129 0.629 0.000
Al 0.371 0.129 0.000
Al 0.629 0.871 0.000
Al 0.871 0.371 0.000
Ge 0.000 0.000 0.000
Ge 0.500 0.500 0.000
Ru 0.000 0.500 0.500
Ru 0.062 0.805 0.500
Ru 0.195 0.062 0.500
Ru 0.305 0.562 0.500
Ru 0.438 0.305 0.500
Ru 0.500 0.000 0.500
Ru 0.562 0.695 0.500
Ru 0.695 0.438 0.500
Ru 0.805 0.938 0.500
Ru 0.938 0.195 0.500

Summary:
Volume (Å³ per cell): 331
Crystal system: tetragonal
Total energy (eV/atom): -7.18
DOS at the Fermi energy (states/eV per cell): 19.38
SG: P4/mbm, No. 127

=====

An optimized crystal structure of NdGa3CoRu. Source: Alexandria via LeMat-Bulk, functional PBE.

a = 6.483 Å, b = 6.483 Å, c = 5.800 Å
α = 90.00°, β = 90.00°, γ = 108.92°
Fractional coordinates of all 12 atoms:
Nd 0.222 0.778 0.750
Nd 0.778 0.222 0.250
Ga 0.250 0.250 0.000
Ga 0.250 0.250 0.500
Ga 0.302 0.698 0.250
Ga 0.698 0.302 0.750
Ga 0.750 0.750 0.000
Ga 0.750 0.750 0.500
Co 0.483 0.517 0.750
Co 0.517 0.483 0.250
Ru 0.076 0.924 0.250
Ru 0.924 0.076 0.750

Summary:
Volume (Å³ per cell): 231
Crystal system: orthorhombic
Total energy (eV/atom): -5.33
DOS at the Fermi energy (states/eV per cell): 5.21
SG: Cmcm, No. 63

=====

An optimized crystal structure of Cd2RePb. Source: Alexandria via LeMat-Bulk, functional PBE.

a = 2.982 Å, b = 5.180 Å, c = 5.644 Å
α = 90.00°, β = 103.68°, γ = 90.00°
Fractional coordinates of all 4 atoms:
Cd 0.122 0.000 0.271
Cd 0.878 0.000 0.729
Re 0.500 0.500 0.500
Pb 0.500 0.500 0.000

Summary:
Volume (Å³ per cell): 85
Crystal system: monoclinic
Total energy (eV/atom): -3.78
DOS at the Fermi energy (states/eV per cell): 1.31
SG: P2/m, No. 10

=====

An optimized crystal structure of Cs2NaScBi2. Source: Alexandria via LeMat-Bulk, functional PBE.

a = 10.386 Å, b = 10.386 Å, c = 10.386 Å
α = 136.85°, β = 62.07°, γ = 137.63°
Fractional coordinates of all 12 atoms:
Cs 0.175 0.221 0.396
Cs 0.325 0.721 0.045
Cs 0.675 0.279 0.955
Cs 0.825 0.779 0.604
Na 0.250 0.250 0.000
Na 0.750 0.750 0.000
Sc 0.250 0.750 0.500
Sc 0.750 0.250 0.500
Bi 0.092 0.714 0.806
Bi 0.408 0.214 0.622
Bi 0.592 0.786 0.378
Bi 0.908 0.286 0.194

Summary:
Volume (Å³ per cell): 510
Crystal system: orthorhombic
Total energy (eV/atom): -3.41
SG: Ibam, No. 72

=====

An optimized crystal structure of ScPRuCl2. Source: Alexandria via LeMat-Bulk, functional PBE.

a = 4.782 Å, b = 4.782 Å, c = 4.588 Å
α = 90.00°, β = 90.00°, γ = 90.00°
Fractional coordinates of all 5 atoms:
Sc 0.000 0.000 0.000
P 0.500 0.500 0.000
Ru 0.500 0.500 0.500
Cl 0.000 0.500 0.500
Cl 0.500 0.000 0.500

Summary:
Volume (Å³ per cell): 105
Crystal system: tetragonal
Formation energy from raw total energies (eV per atom): -0.0604
DOS at the Fermi energy (states/eV per cell): 4.73
SG: P4/mmm, No. 123